(1)
Entry from Alexandria via LeMat-Bulk: a relaxed KSnTe crystal (GGA-PBE).

a = 6.350 Å, b = 5.395 Å, c = 9.322 Å
α = 106.82°, β = 109.91°, γ = 90.00°
Atoms (fractional coordinates):
Sn (0.274, 0.500, 0.000)
Sn (0.726, 0.500, 0.000)
K (0.645, 0.145, 0.289)
K (0.355, 0.855, 0.711)
Te (0.144, 0.644, 0.288)
Te (0.856, 0.356, 0.712)

**Excess energy over the best structure of this formula in the dataset**: 50 meV/atom
**Formation energy without anion corrections**: -1.0 eV/f.u.
**Symmetry**: No. 71



(2)
Entry from Alexandria via LeMat-Bulk: a relaxed NdY2Ho12 crystal (GGA-PBE).

a = 6.598 Å, b = 6.598 Å, c = 24.766 Å
α = 83.35°, β = 83.35°, γ = 114.72°
Atoms (fractional coordinates):
Ho (0.819, 0.319, 0.574)
Ho (0.895, 0.395, 0.139)
Ho (0.333, 0.334, 0.555)
Ho (0.904, 0.902, 0.798)
Ho (0.942, 0.942, 0.075)
Ho (0.395, 0.895, 0.138)
Ho (0.167, 0.166, 0.445)
Ho (0.319, 0.819, 0.574)
Ho (0.834, 0.833, 0.555)
Ho (0.001, 0.001, 0.331)
Ho (0.605, 0.105, 0.861)
Ho (0.558, 0.558, 0.925)
Ho (0.105, 0.605, 0.862)
Ho (0.501, 0.501, 0.331)
Ho (0.681, 0.181, 0.426)
Ho (0.999, 0.999, 0.669)
Ho (0.442, 0.442, 0.075)
Ho (0.666, 0.667, 0.445)
Ho (0.181, 0.681, 0.426)
Ho (0.098, 0.096, 0.202)
Ho (0.402, 0.404, 0.798)
Ho (0.058, 0.058, 0.925)
Ho (0.499, 0.499, 0.669)
Ho (0.596, 0.598, 0.202)
Y (0.544, 0.044, 0.273)
Y (0.045, 0.545, 0.273)
Y (0.455, 0.955, 0.727)
Y (0.956, 0.456, 0.727)
Nd (0.500, 0.000, 0.000)
Nd (0.000, 0.500, 0.000)

**Total DFT energy (no corrections)**: -142.00 eV/cell
**Symmetry**: No. 12